# 1
Entry from Alexandria via LeMat-Bulk: an optimized crystal structure of LaScHg2 (PBE).

a = 3.626 Å, b = 3.620 Å, c = 7.765 Å
α = 90.00°, β = 90.00°, γ = 90.00°
Last column: magnetic moment on the atom in μB.
Element x y z (fractional)
Sc 0.500 0.500 0.750  0.04
Hg 0.000 0.000 0.538  0.00
Hg 0.000 0.000 0.962  0.00
La 0.500 0.500 0.250  0.19

Computed properties:
- Space group: P4/mmm, No. 123



# 2
Entry from Alexandria via LeMat-Bulk: an optimized crystal structure of LaScHg (PBE).

a = 6.080 Å, b = 6.069 Å, c = 6.069 Å
α = 61.86°, β = 94.58°, γ = 63.41°
Element x y z (fractional)
Sc 0.429 0.807 0.970
Sc 0.389 0.307 0.431
La 0.023 0.030 0.346
La 0.795 0.526 0.613
Hg 0.909 0.812 0.945
Hg 0.409 0.314 0.944

Computed properties:
- Space group: C2, No. 5



Number 1: distance to the lowest polymorph of the same formula 0 meV/atom, raw total energy -0.2514 Ry/atom, formation energy from the elements -0.4542 eV per atom. Number 2: distance to the lowest polymorph of the same formula 52 meV/atom, raw total energy -0.3044 Ry/atom, formation energy from the elements -0.2886 eV per atom.